Compound: Pm2Al3CoCu12
Source: Alexandria via LeMat-Bulk
Functional: PBE
Structure: relaxed Values from VASP.

Results
DOS(E_F) in states/eV/atom: 0.580
M_tot in μB per cell: 0.30
ΔH_f (0 K) in eV/atom: 0.13
Raw total energy in eV/atom: -4.151

Quantum ESPRESSO input file:
```
&SYSTEM
  ibrav = 0, nat = 18, ntyp = 4
/
ATOMIC_SPECIES
Cu 63.55 Cu.upf
Al 26.98 Al.upf
Pm 145.00 Pm.upf
Co 58.93 Co.upf
CELL_PARAMETERS angstrom
9.384 1.912 1.356
6.297 7.216 1.356
6.297 3.666 6.362
ATOMIC_POSITIONS crystal
Cu 0.580 0.188 0.580
Cu 0.930 0.930 0.349
Al 0.500 0.000 0.000
Cu 0.188 0.580 0.580
Cu 0.070 0.070 0.651
Pm 0.348 0.348 0.348
Cu 0.349 0.930 0.930
Cu 0.651 0.070 0.070
Cu 0.580 0.580 0.188
Al 0.000 0.500 0.000
Cu 0.812 0.420 0.420
Cu 0.420 0.420 0.812
Co 0.000 0.000 0.000
Cu 0.070 0.651 0.070
Pm 0.652 0.652 0.652
Al 0.000 0.000 0.500
Cu 0.930 0.349 0.930
Cu 0.420 0.812 0.420
```

Compound: PmAl4CoCu2
Source: Alexandria via LeMat-Bulk
Functional: PBE
Structure: relaxed Values from VASP.

Results
DOS(E_F) in states/eV/atom: 0.516
M_tot in μB per cell: 0.00
ΔH_f (0 K) in eV/atom: -0.37
Raw total energy in eV/atom: -4.747

Quantum ESPRESSO input file:
```
&SYSTEM
  ibrav = 0, nat = 8, ntyp = 4
/
ATOMIC_SPECIES
Al 26.98 Al.upf
Cu 63.55 Cu.upf
Co 58.93 Co.upf
Pm 145.00 Pm.upf
CELL_PARAMETERS angstrom
4.136 0.000 0.000
2.068 3.582 0.000
2.068 1.194 8.875
ATOMIC_POSITIONS crystal
Al 0.135 0.135 0.594
Cu 0.767 0.767 0.700
Al 0.591 0.591 0.226
Co 0.500 0.500 0.500
Al 0.409 0.409 0.774
Cu 0.233 0.233 0.300
Al 0.865 0.865 0.406
Pm 0.000 0.000 0.000
```

Compound: AlCoCuPt
Source: Alexandria via LeMat-Bulk
Functional: PBE
Structure: relaxed Values from VASP.

Results
DOS(E_F) in states/eV/atom: 0.720
M_tot in μB per cell: 0.23
ΔH_f (0 K) in eV/atom: -0.43
Raw total energy in eV/atom: -5.672

Quantum ESPRESSO input file:
```
&SYSTEM
  ibrav = 0, nat = 4, ntyp = 4
/
ATOMIC_SPECIES
Al 26.98 Al.upf
Cu 63.55 Cu.upf
Pt 195.08 Pt.upf
Co 58.93 Co.upf
CELL_PARAMETERS angstrom
-0.392 -1.800 -3.750
1.892 -3.643 -0.776
-2.268 -3.483 -0.418
ATOMIC_POSITIONS crystal
Al 0.000 0.000 0.000
Cu 0.500 0.500 0.500
Pt 0.750 0.750 0.750
Co 0.250 0.250 0.250
```

For the records above, the corresponding calculated density values read 6.75, 5.55, 11.10 g/cm3.